A relaxed LaSm3Y6Tm2 crystal, computed with PBE-GGA.

Unit cell a=6.211 b=6.211 c=11.880 alpha=94.98 beta=94.98 gamma=119.97
Fractional positions:
La  0.000  0.000  0.000
Sm  0.167  0.833  0.500
Sm  0.500  0.500  0.500
Sm  0.833  0.167  0.500
Y  0.084  0.418  0.249
Y  0.251  0.251  0.751
Y  0.418  0.084  0.249
Y  0.582  0.916  0.751
Y  0.749  0.749  0.249
Y  0.916  0.582  0.751
Tm  0.333  0.667  0.000
Tm  0.667  0.333  0.000

Calculated values
For the calculated volume, the calculation gives 32.6 Å³/atom. The value obtained for the electronic total energy is -66.57 eV per cell. As for the energy of formation from the pure elements: 0.02 eV per atom. Its space-group type is C2/m (12). The density of states at the Fermi level comes out at 1.378 states/eV/atom.

A relaxed SrNb2CoSn crystal, computed with PBE-GGA.

Unit cell a=4.947 b=4.947 c=5.594 alpha=90.00 beta=90.00 gamma=90.00
Fractional positions:
Sr  0.000  0.000  0.000
Nb  0.000  0.500  0.000
Nb  0.500  0.000  0.000
Co  0.500  0.500  0.500
Sn  0.000  0.000  0.500

Calculated values
For the calculated volume, the calculation gives 27.4 Å³/atom. The value obtained for the electronic total energy is -19.89 eV per cell. As for the energy of formation from the pure elements: 2.61 eV per atom. Its space-group type is P4/mmm (123). The density of states at the Fermi level comes out at 1.301 states/eV/atom.

A relaxed SrMnAg2 crystal, computed with PBE-GGA.

Unit cell a=3.548 b=3.548 c=7.260 alpha=90.00 beta=90.00 gamma=90.00
Fractional positions:
Sr  0.000  0.000  0.000
Mn  0.000  0.000  0.500
Ag  0.500  0.500  0.306
Ag  0.500  0.500  0.694

Calculated values
For the calculated volume, the calculation gives 22.8 Å³/atom. The value obtained for the electronic total energy is -16.07 eV per cell. As for the energy of formation from the pure elements: 0.12 eV per atom. Its space-group type is P4/mmm (123). The density of states at the Fermi level comes out at 0.557 states/eV/atom.

A relaxed CuTcP2S crystal, computed with PBE-GGA.

Unit cell a=4.412 b=4.412 c=4.506 alpha=90.00 beta=90.00 gamma=90.00
Fractional positions:
Cu  0.000  0.000  0.000
Tc  0.500  0.500  0.500
P  0.000  0.500  0.000
P  0.500  0.000  0.000
S  0.000  0.000  0.500

Calculated values
For the calculated volume, the calculation gives 17.5 Å³/atom. As for the formation energy (no corrections): 1.118 eV per atom. The value obtained for the electronic total energy is -23.82 eV per cell. Its space-group type is P4/mmm (123). The density of states at the Fermi level comes out at 0.686 states/eV/atom. The energy above the most stable polymorph in this dataset is 377 meV per atom.

A relaxed Hf2CrGa6 crystal, computed with PBE-GGA.

Unit cell a=5.739 b=5.739 c=5.638 alpha=99.51 beta=99.51 gamma=55.96
Fractional positions:
Hf  0.138  0.138  0.354
Hf  0.862  0.862  0.646
Cr  0.500  0.500  0.500
Ga  0.120  0.639  0.168
Ga  0.343  0.343  0.770
Ga  0.361  0.880  0.832
Ga  0.639  0.120  0.168
Ga  0.657  0.657  0.230
Ga  0.880  0.361  0.832

Calculated values
For the calculated volume, the calculation gives 16.8 Å³/atom. The value obtained for the electronic total energy is -49.75 eV per cell. As for the energy of formation from the pure elements: -0.23 eV per atom. Its space-group type is C2/m (12). The density of states at the Fermi level comes out at 0.470 states/eV/atom.

A relaxed LiBiSN2 crystal, computed with PBE-GGA.

Unit cell a=4.092 b=4.092 c=4.539 alpha=90.00 beta=90.00 gamma=90.00
Fractional positions:
Li  0.000  0.000  0.000
Bi  0.500  0.500  0.500
S  0.000  0.000  0.500
N  0.000  0.500  0.000
N  0.500  0.000  0.000

Calculated values
For the calculated volume, the calculation gives 15.2 Å³/atom. As for the formation energy (no corrections): 1.273 eV per atom. The value obtained for the electronic total energy is -20.21 eV per cell. Its space-group type is P4/mmm (123). The density of states at the Fermi level comes out at 0.259 states/eV/atom. The energy above the most stable polymorph in this dataset is 109 meV per atom.

A relaxed CaP crystal, computed with PBE-GGA.

Unit cell a=4.465 b=4.465 c=17.404 alpha=90.00 beta=90.00 gamma=120.00
Fractional positions:
Ca  0.000  0.000  0.000
Ca  0.000  0.000  0.179
Ca  0.333  0.667  0.667
Ca  0.333  0.667  0.846
Ca  0.667  0.333  0.333
Ca  0.667  0.333  0.513
P  0.000  0.000  0.439
P  0.000  0.000  0.575
P  0.333  0.667  0.105
P  0.333  0.667  0.242
P  0.667  0.333  0.772
P  0.667  0.333  0.909

Calculated values
For the calculated volume, the calculation gives 25.0 Å³/atom. The value obtained for the electronic total energy is -55.63 eV per cell. As for the energy of formation from the pure elements: -0.93 eV per atom. Its space-group type is R3m (160). The density of states at the Fermi level comes out at 0.016 states/eV/atom.

A relaxed Y3InGe3 crystal, computed with PBE-GGA.

Unit cell a=8.703 b=8.703 c=5.879 alpha=90.00 beta=90.00 gamma=120.00
Fractional positions:
Y  0.051  0.360  0.250
Y  0.309  0.949  0.250
Y  0.360  0.309  0.750
Y  0.640  0.691  0.250
Y  0.691  0.051  0.750
Y  0.949  0.640  0.750
In  0.333  0.667  0.750
In  0.667  0.333  0.250
Ge  0.042  0.349  0.750
Ge  0.308  0.958  0.750
Ge  0.349  0.308  0.250
Ge  0.651  0.692  0.750
Ge  0.692  0.042  0.250
Ge  0.958  0.651  0.250

Calculated values
For the calculated volume, the calculation gives 27.5 Å³/atom. The value obtained for the electronic total energy is -79.89 eV per cell. As for the energy of formation from the pure elements: -0.57 eV per atom. Its space-group type is P6_3/m (176). The density of states at the Fermi level comes out at 0.165 states/eV/atom.